Record 1
KCu5Se4: relaxed, PBE.

Results
formation energy without anion corrections	-0.22	eV per atom
density of states at the Fermi level	10.42	states/eV/cell

Cell lengths 3.770, 12.773, 8.062 Å; angles 90.00, 90.00, 90.00 degrees
Sites, in units of the cell vectors:
Cu (0.752, 0.302, 0.831)
Cu (0.231, 0.500, 0.000)
Se (0.269, 0.000, 0.687)
Cu (0.248, 0.198, 0.669)
Se (0.750, 0.273, 0.500)
Cu (0.752, 0.698, 0.169)
Se (0.269, 0.000, 0.313)
Cu (0.769, 0.000, 0.500)
Se (0.731, 0.500, 0.813)
Cu (0.248, 0.198, 0.331)
Cu (0.248, 0.802, 0.331)
K (0.235, 0.500, 0.500)
K (0.765, 0.000, 0.000)
Cu (0.752, 0.698, 0.831)
Cu (0.248, 0.802, 0.669)
Se (0.731, 0.500, 0.187)
Se (0.250, 0.227, 0.000)
Se (0.250, 0.773, 0.000)
Cu (0.752, 0.302, 0.169)
Se (0.750, 0.727, 0.500)

---

Record 2
AcCd8Pd4: relaxed, PBE.

Results
formation energy	-369	meV per atom
density of states at the Fermi level	7.14	states/eV/cell

Cell lengths 5.747, 7.448, 7.448 Å; angles 81.44, 67.30, 67.30 degrees
Sites, in units of the cell vectors:
Cd (0.500, 0.779, 0.221)
Cd (0.000, 0.346, 0.654)
Cd (0.654, 0.346, 0.346)
Cd (0.000, 0.654, 0.346)
Pd (0.500, 0.500, 0.000)
Ac (0.000, 0.000, 0.000)
Cd (0.346, 0.654, 0.654)
Pd (0.500, 0.000, 0.500)
Cd (0.279, 0.221, 0.221)
Pd (0.000, 0.500, 0.000)
Cd (0.721, 0.779, 0.779)
Cd (0.500, 0.221, 0.779)
Pd (0.000, 0.000, 0.500)

---

Record 3
Nd5Er3Te12: relaxed, PBE.

Results
formation energy without anion corrections	-1.09	eV per atom

Cell lengths 15.910, 15.910, 15.910 Å; angles 109.47, 109.47, 109.47 degrees
Sites, in units of the cell vectors:
Nd (0.375, 0.250, 0.125)
Te (0.326, 0.770, 0.400)
Te (0.100, 0.174, 0.230)
Te (0.870, 0.600, 0.926)
Te (0.674, 0.444, 0.574)
Te (0.900, 0.826, 0.770)
Te (0.370, 0.426, 0.100)
Er (0.375, 0.625, 0.250)
Nd (0.875, 0.250, 0.625)
Te (0.600, 0.730, 0.674)
Nd (0.875, 0.625, 0.750)
Nd (0.500, 0.000, 0.500)
Te (0.270, 0.870, 0.944)
Er (0.250, 0.625, 0.875)
Te (0.056, 0.630, 0.730)
Te (0.230, 0.674, 0.100)
Te (0.130, 0.730, 0.556)
Er (0.250, 0.125, 0.375)
Te (0.944, 0.370, 0.270)
Te (0.770, 0.444, 0.370)
Te (0.630, 0.056, 0.230)
Nd (0.000, 0.500, 0.000)
Te (0.326, 0.556, 0.426)
Te (0.826, 0.926, 0.056)
Nd (0.500, 0.500, 0.500)
Te (0.900, 0.074, 0.630)
Te (0.174, 0.100, 0.730)
Te (0.074, 0.174, 0.444)
Er (0.875, 0.750, 0.125)
Te (0.870, 0.270, 0.444)
Te (0.770, 0.326, 0.900)
Te (0.944, 0.574, 0.174)
Er (0.750, 0.375, 0.125)
Te (0.270, 0.400, 0.826)
Nd (0.250, 0.875, 0.125)
Nd (0.000, 0.500, 0.500)
Er (0.625, 0.250, 0.375)
Te (0.444, 0.674, 0.074)
Te (0.926, 0.100, 0.870)
Nd (0.500, 0.000, 0.000)
Te (0.074, 0.900, 0.130)
Er (0.750, 0.875, 0.625)
Nd (0.500, 0.500, 0.000)
Nd (0.250, 0.375, 0.625)
Te (0.400, 0.130, 0.574)
Nd (0.750, 0.125, 0.875)
Nd (0.125, 0.750, 0.375)
Te (0.556, 0.230, 0.130)
Te (0.426, 0.370, 0.600)
Te (0.574, 0.630, 0.400)
Te (0.130, 0.400, 0.074)
Er (0.375, 0.750, 0.625)
Te (0.674, 0.230, 0.600)
Te (0.730, 0.130, 0.056)
Te (0.444, 0.770, 0.870)
Te (0.730, 0.600, 0.174)
Er (0.125, 0.250, 0.875)
Te (0.826, 0.900, 0.270)
Te (0.100, 0.926, 0.370)
Er (0.875, 0.125, 0.250)
Nd (0.000, 0.000, 0.500)
Nd (0.625, 0.875, 0.250)
Te (0.600, 0.870, 0.426)
Te (0.426, 0.056, 0.326)
Nd (0.750, 0.625, 0.375)
Te (0.056, 0.426, 0.826)
Nd (0.625, 0.750, 0.875)
Nd (0.000, 0.000, 0.000)
Te (0.630, 0.574, 0.900)
Er (0.625, 0.375, 0.750)
Te (0.370, 0.944, 0.770)
Te (0.230, 0.556, 0.630)
Te (0.400, 0.270, 0.326)
Nd (0.375, 0.125, 0.750)
Te (0.574, 0.944, 0.674)
Nd (0.125, 0.375, 0.250)
Te (0.926, 0.826, 0.556)
Er (0.125, 0.875, 0.750)
Te (0.174, 0.074, 0.944)
Te (0.556, 0.326, 0.926)

---

Record 4
Cs2AgIO4: relaxed, PBE.

Results
formation energy without anion corrections	-0.70	eV per atom

Cell lengths 6.361, 6.361, 6.361 Å; angles 96.30, 116.43, 116.43 degrees
Sites, in units of the cell vectors:
O (0.656, 0.413, 0.493)
Ag (0.500, 0.250, 0.750)
O (0.080, 0.242, 0.587)
Cs (0.000, 0.000, 0.000)
I (0.000, 0.500, 0.500)
O (0.920, 0.507, 0.163)
O (0.344, 0.837, 0.758)
Cs (0.500, 0.750, 0.250)

---

Record 5
KInBiSe3: relaxed, PBE.

Results
formation energy without anion corrections	-0.60	eV per atom
density of states at the Fermi level	2.92	states/eV/cell

Cell lengths 4.803, 8.805, 10.120 Å; angles 103.15, 90.00, 90.00 degrees
Sites, in units of the cell vectors:
Se (0.750, 0.207, 0.519)
Bi (0.250, 0.662, 0.128)
Se (0.250, 0.793, 0.481)
Se (0.750, 0.881, 0.137)
K (0.750, 0.809, 0.786)
Se (0.250, 0.119, 0.863)
Se (0.750, 0.443, 0.147)
Bi (0.750, 0.338, 0.872)
In (0.750, 0.882, 0.401)
In (0.250, 0.118, 0.599)
K (0.250, 0.191, 0.214)
Se (0.250, 0.557, 0.853)

---

Record 6
InNiAg: relaxed, PBE.

Results
formation energy	108	meV per atom
density of states at the Fermi level	1.78	states/eV/cell

Cell lengths 4.447, 4.447, 2.969 Å; angles 90.00, 90.00, 120.00 degrees
Sites, in units of the cell vectors:
In (0.667, 0.333, 0.404)
Ag (0.000, 0.000, 0.992)
Ni (0.333, 0.667, 0.604)

---

Record 7
TlNiP2: relaxed, PBE.

Results
formation energy	282	meV per atom
density of states at the Fermi level	2.52	states/eV/cell

Cell lengths 5.795, 5.795, 5.795 Å; angles 152.26, 120.16, 67.20 degrees
Sites, in units of the cell vectors:
P (0.066, 0.066, 0.000)
P (0.434, 0.434, 0.000)
Tl (0.750, 0.250, 0.500)
Ni (0.250, 0.750, 0.500)

---

Record 8
HoPuAlTl: relaxed, PBE.

Results
formation energy	-145	meV per atom
density of states at the Fermi level	8.53	states/eV/cell

Cell lengths 5.253, 5.253, 5.253 Å; angles 60.00, 60.00, 60.00 degrees
Sites, in units of the cell vectors:
Al (0.500, 0.500, 0.500)
Ho (0.250, 0.250, 0.250)
Pu (0.750, 0.750, 0.750)
Tl (0.000, 0.000, 0.000)

---

Final energy: -37.7 -37.0 -97.1 -31.5 -21.8 -11.0 -17.8 -25.6 (eV per formula unit)